Entry 1:
Entry from Alexandria: HgTe2Br at its PBEsol-relaxed geometry (SCAN).

The space group is R-3m (No. 166, hexagonal axes) and the conventional cell measures 3.3773, 3.3773 and 33.0074 Å, with angles of 90.00, 90.00 and 120.00 degrees. Symmetry generates all atoms from Hg at (0.0000, 0.0000, 0.0000), Te at (0.0000, 0.0000, 0.4165) and Br at (0.0000, 0.0000, 0.5000).

Its uncorrected formation energy is 15.4 kJ/mol of atoms. Its offset from the most stable computed form is 0.000 eV/f.u. The value obtained for the total energy is -161.49 eV per formula unit.

Entry 2:
Entry from Alexandria: Mg2BeOs at its PBEsol-relaxed geometry (SCAN).

The space group is P4/mmm (No. 123) and the conventional cell measures 2.715, 2.715 and 8.063 Å, with angles of 90.00, 90.00 and 90.00 degrees. Symmetry generates all atoms from Mg at (0.000, 0.000, 0.242), Be at (0.500, 0.500, 0.000) and Os at (0.500, 0.500, 0.500).

The value obtained for the total energy is -84.66 eV per formula unit. The formation energy comes out at 0.38 eV/atom.

Entry 3:
Entry from Alexandria: Mg2RhAu at its PBEsol-relaxed geometry (SCAN).

The space group is P4/mmm (No. 123) and the conventional cell measures 3.240, 3.240 and 6.010 Å, with angles of 90.00, 90.00 and 90.00 degrees. Symmetry generates all atoms from Mg at (0.000, 0.000, 0.235), Rh at (0.500, 0.500, 0.000) and Au at (0.500, 0.500, 0.500).

The value obtained for the total energy is -115.69 eV per formula unit. The formation energy comes out at -0.70 eV/atom.